Computed, not measured: a geometry-optimized NpV2CrO8 structure at the PBE with a Hubbard U level of DFT.

Calculated values
* calculated density: 6.24 g cm⁻³
* volume: 138.2 Å³/f.u.
* electronic total energy: -8.49 eV per atom

The structure in CIF format:
```
data_NpV2CrO8
_cell_length_a 6.6933
_cell_length_b 6.7102
_cell_length_c 6.1541
_cell_angle_alpha 90.00
_cell_angle_beta 91.24
_cell_angle_gamma 90.00
_space_group_name_H-M_alt 'C 1 2/m 1'
_space_group_IT_number 12
loop_
_space_group_symop_operation_xyz
'x,y,z'
'-x,-y,-z'
'-x,y,-z'
'x,-y,z'
'x+1/2,y+1/2,z'
'-x+1/2,-y+1/2,-z'
'-x+1/2,y+1/2,-z'
'x+1/2,-y+1/2,z'
loop_
_atom_site_label
_atom_site_type_symbol
_atom_site_fract_x
_atom_site_fract_y
_atom_site_fract_z
_atom_site_occupancy
Np1 Np 0.0000 0.0000 0.0000 1
V1 V 0.0064 0.5000 0.2710 1
Cr1 Cr 0.0000 0.0000 0.5000 1
O1 O 0.0006 0.1994 0.7423 1
O2 O 0.1873 0.5000 0.9954 1
O3 O 0.1996 0.5000 0.4918 1
```

Computed, not measured: a geometry-optimized NpVCr2O6 structure at the PBE with a Hubbard U level of DFT.

Calculated values
* calculated density: 6.72 g cm⁻³
* volume: 120.5 Å³/f.u.
* electronic total energy: -8.66 eV per atom

The structure in CIF format:
```
data_NpVCr2O6
_cell_length_a 5.2540
_cell_length_b 5.3807
_cell_length_c 5.6978
_cell_angle_alpha 116.94
_cell_angle_beta 90.07
_cell_angle_gamma 118.94
_space_group_name_H-M_alt 'P 1'
_space_group_IT_number 1
loop_
_space_group_symop_operation_xyz
'x,y,z'
loop_
_atom_site_label
_atom_site_type_symbol
_atom_site_fract_x
_atom_site_fract_y
_atom_site_fract_z
_atom_site_occupancy
Np1 Np 0.0000 0.0000 0.0000 1
V1 V 0.4914 0.9811 0.4659 1
Cr1 Cr 0.2836 0.5592 0.8554 1
Cr2 Cr 0.7946 0.5886 0.3898 1
O1 O 0.0873 0.7542 0.1835 1
O2 O 0.1905 0.7759 0.6697 1
O3 O 0.4235 0.5063 0.1770 1
O4 O 0.5814 0.4619 0.6606 1
O5 O 0.6986 0.1268 0.2062 1
O6 O 0.8562 0.0464 0.6596 1
```

Computed, not measured: a geometry-optimized YNpCr2O6 structure at the PBE with a Hubbard U level of DFT.

Calculated values
* calculated density: 6.75 g cm⁻³
* volume: 129.3 Å³/f.u.
* electronic total energy: -8.93 eV per atom

The structure in CIF format:
```
data_YNpCr2O6
_cell_length_a 5.4434
_cell_length_b 5.5796
_cell_length_c 5.7366
_cell_angle_alpha 62.01
_cell_angle_beta 89.76
_cell_angle_gamma 61.28
_space_group_name_H-M_alt 'P 1'
_space_group_IT_number 1
loop_
_space_group_symop_operation_xyz
'x,y,z'
loop_
_atom_site_label
_atom_site_type_symbol
_atom_site_fract_x
_atom_site_fract_y
_atom_site_fract_z
_atom_site_occupancy
Y1 Y 0.0000 0.0000 0.0000 1
Np1 Np 0.5010 0.0055 0.4936 1
Cr1 Cr 0.2909 0.4270 0.8689 1
Cr2 Cr 0.7856 0.4379 0.3610 1
O1 O 0.0861 0.5040 0.1590 1
O2 O 0.1943 0.8820 0.6776 1
O3 O 0.4053 0.9554 0.1461 1
O4 O 0.5701 0.2719 0.6578 1
O5 O 0.6625 0.2637 0.1621 1
O6 O 0.9263 0.5156 0.6557 1
```

Computed, not measured: a geometry-optimized NpZnCrO6 structure at the PBE with a Hubbard U level of DFT.

Calculated values
* calculated density: 7.07 g cm⁻³
* volume: 105.7 Å³/f.u.
* electronic total energy: -7.71 eV per atom

The structure in CIF format:
```
data_NpZnCrO6
_cell_length_a 5.2129
_cell_length_b 5.2129
_cell_length_c 8.9852
_cell_angle_alpha 90.00
_cell_angle_beta 90.00
_cell_angle_gamma 120.00
_space_group_name_H-M_alt 'P -3 1 c'
_space_group_IT_number 163
_space_group_name_Hall '-P 3 2c'
loop_
_atom_site_label
_atom_site_type_symbol
_atom_site_fract_x
_atom_site_fract_y
_atom_site_fract_z
_atom_site_occupancy
Np1 Np 0.3333 0.6667 0.2500 1
Zn1 Zn 0.3333 0.6667 0.7500 1
Cr1 Cr 0.0000 0.0000 0.0000 1
O1 O 0.0136 0.3329 0.1262 1
```

Computed, not measured: a geometry-optimized NpZnCr2O8 structure at the PBE with a Hubbard U level of DFT.

Calculated values
* calculated density: 6.36 g cm⁻³
* volume: 139.4 Å³/f.u.
* electronic total energy: -7.64 eV per atom

The structure in CIF format:
```
data_NpZnCr2O8
_cell_length_a 6.7085
_cell_length_b 6.7374
_cell_length_c 6.1705
_cell_angle_alpha 90.00
_cell_angle_beta 90.00
_cell_angle_gamma 90.00
_space_group_name_H-M_alt 'C m m m'
_space_group_IT_number 65
_space_group_name_Hall '-C 2 2'
loop_
_atom_site_label
_atom_site_type_symbol
_atom_site_fract_x
_atom_site_fract_y
_atom_site_fract_z
_atom_site_occupancy
Np1 Np 0.0000 0.0000 0.0000 1
Zn1 Zn 0.0000 0.0000 0.5000 1
Cr1 Cr 0.0000 0.5000 0.2605 1
O1 O 0.0000 0.2025 0.2399 1
O2 O 0.1857 0.5000 0.5000 1
O3 O 0.1904 0.5000 0.0000 1
```

Computed, not measured: a geometry-optimized NpZn2CrO8 structure at the PBE with a Hubbard U level of DFT.

Calculated values
* calculated density: 6.03 g cm⁻³
* volume: 150.8 Å³/f.u.
* electronic total energy: -6.73 eV per atom

The structure in CIF format:
```
data_NpZn2CrO8
_cell_length_a 6.3979
_cell_length_b 6.3979
_cell_length_c 7.3659
_cell_angle_alpha 90.00
_cell_angle_beta 90.00
_cell_angle_gamma 90.00
_space_group_name_H-M_alt 'I -4 m 2'
_space_group_IT_number 119
_space_group_name_Hall 'I -4 -2'
loop_
_atom_site_label
_atom_site_type_symbol
_atom_site_fract_x
_atom_site_fract_y
_atom_site_fract_z
_atom_site_occupancy
Np1 Np 0.0000 0.0000 0.0000 1
Zn1 Zn 0.0000 0.0000 0.5000 1
Zn2 Zn 0.0000 0.5000 0.7500 1
Cr1 Cr 0.0000 0.5000 0.2500 1
O1 O 0.0000 0.2310 0.3196 1
O2 O 0.0000 0.2903 0.9369 1
```

Computed, not measured: a geometry-optimized NpZn2CrO6 structure at the PBE with a Hubbard U level of DFT.

Calculated values
* calculated density: 7.10 g cm⁻³
* volume: 120.6 Å³/f.u.
* electronic total energy: -7.29 eV per atom

The structure in CIF format:
```
data_NpZn2CrO6
_cell_length_a 5.3021
_cell_length_b 5.3021
_cell_length_c 14.8580
_cell_angle_alpha 90.00
_cell_angle_beta 90.00
_cell_angle_gamma 120.00
_space_group_name_H-M_alt 'R -3'
_space_group_IT_number 148
_space_group_name_Hall '-R 3'
loop_
_atom_site_label
_atom_site_type_symbol
_atom_site_fract_x
_atom_site_fract_y
_atom_site_fract_z
_atom_site_occupancy
Np1 Np 0.0000 0.0000 0.0000 1
Zn1 Zn 0.0000 0.0000 0.2135 1
Cr1 Cr 0.0000 0.0000 0.5000 1
O1 O 0.0015 0.6364 0.7576 1
```

Computed, not measured: a geometry-optimized ZrNpCrO6 structure at the PBE with a Hubbard U level of DFT.

Calculated values
* calculated density: 6.89 g cm⁻³
* volume: 114.8 Å³/f.u.
* electronic total energy: -9.11 eV per atom

The structure in CIF format:
```
data_ZrNpCrO6
_cell_length_a 5.4938
_cell_length_b 5.4938
_cell_length_c 8.7810
_cell_angle_alpha 90.00
_cell_angle_beta 90.00
_cell_angle_gamma 120.00
_space_group_name_H-M_alt 'P -3 1 c'
_space_group_IT_number 163
_space_group_name_Hall '-P 3 2c'
loop_
_atom_site_label
_atom_site_type_symbol
_atom_site_fract_x
_atom_site_fract_y
_atom_site_fract_z
_atom_site_occupancy
Zr1 Zr 0.3333 0.6667 0.2500 1
Np1 Np 0.3333 0.6667 0.7500 1
Cr1 Cr 0.0000 0.0000 0.0000 1
O1 O 0.9996 0.3297 0.1275 1
```